1.
Compound: CrHgPbF6
Source: Alexandria via LeMat-Bulk
Functional: PBE+U
Structure: optimized geometry

Lattice parameters (Å, degrees): 6.0896 6.0896 9.5437 90.00 90.00 120.00
Last column: nearest neighbours and their distance in Å.
Atoms (fractional coordinates):
Cr  0.6667  0.3333  0.2500  6 F 1.96
Cr  0.3333  0.6667  0.7500  6 F 1.96
Hg  0.3333  0.6667  0.2500  6 F 2.62
Hg  0.6667  0.3333  0.7500  6 F 2.62
Pb  0.0000  0.0000  0.0000  6 F 2.52
Pb  0.0000  0.0000  0.5000  6 F 2.52
F  0.6897  0.6079  0.1323  1 Cr 1.96
F  0.9182  0.3103  0.1323  1 Cr 1.96
F  0.3103  0.9182  0.6323  1 Cr 1.96
F  0.0818  0.6897  0.8677  1 Cr 1.96
F  0.3921  0.3103  0.3677  1 Cr 1.96
F  0.9182  0.6079  0.3677  1 Cr 1.96
F  0.6079  0.9182  0.8677  1 Cr 1.96
F  0.6897  0.0818  0.3677  1 Cr 1.96
F  0.0818  0.3921  0.6323  1 Cr 1.96
F  0.3921  0.0818  0.1323  1 Cr 1.96
F  0.6079  0.6897  0.6323  1 Cr 1.96
F  0.3103  0.3921  0.8677  1 Cr 1.96

## Properties
Theoretical density, g/cm³: 6.22
Total DFT energy (no corrections), eV per cell: -84.30



2.
Compound: CrHgPdF6
Source: Alexandria via LeMat-Bulk
Functional: PBE+U
Structure: optimized geometry

Lattice parameters (Å, degrees): 5.8073 5.8073 9.1769 90.00 90.00 120.00
Last column: nearest neighbours and their distance in Å.
Atoms (fractional coordinates):
Cr  0.6667  0.3333  0.2500  6 F 1.96
Cr  0.3333  0.6667  0.7500  6 F 1.96
Hg  0.3333  0.6667  0.2500  6 F 2.38
Hg  0.6667  0.3333  0.7500  6 F 2.38
Pd  0.0000  0.0000  0.0000  6 F 2.41
Pd  0.0000  0.0000  0.5000  6 F 2.41
F  0.6708  0.6178  0.1323  1 Cr 1.96
F  0.9470  0.3292  0.1323  1 Cr 1.96
F  0.3292  0.9470  0.6323  1 Cr 1.96
F  0.0530  0.6708  0.8677  1 Cr 1.96
F  0.3822  0.3292  0.3677  1 Cr 1.96
F  0.9470  0.6178  0.3677  1 Cr 1.96
F  0.6178  0.9470  0.8677  1 Cr 1.96
F  0.6708  0.0530  0.3677  1 Cr 1.96
F  0.0530  0.3822  0.6323  1 Cr 1.96
F  0.3822  0.0530  0.1323  1 Cr 1.96
F  0.6178  0.6708  0.6323  1 Cr 1.96
F  0.3292  0.3822  0.8677  1 Cr 1.96

## Properties
Theoretical density, g/cm³: 5.86
Total DFT energy (no corrections), eV per cell: -79.67



3.
Compound: Rb2CrHgF6
Source: Alexandria via LeMat-Bulk
Functional: PBE+U
Structure: optimized geometry

Lattice parameters (Å, degrees): 6.3776 6.3776 6.3809 60.02 60.02 90.00
Last column: nearest neighbours and their distance in Å.
Atoms (fractional coordinates):
Cr  0.5000  0.5000  0.0000  6 F 1.96
Hg  0.0000  0.0000  0.0000  6 F 2.55
Rb  0.7500  0.2500  0.5000  12 F 3.20
Rb  0.2500  0.7500  0.5000  12 F 3.20
F  0.2827  0.2827  0.4346  1 Cr 1.96
F  0.7173  0.7173  0.5654  1 Cr 1.96
F  0.2824  0.2824  0.0000  1 Cr 1.96
F  0.7176  0.7176  0.0000  1 Cr 1.96
F  0.7176  0.2824  0.0000  1 Cr 1.96
F  0.2824  0.7176  0.0000  1 Cr 1.96

## Properties
Theoretical density, g/cm³: 4.86
Total DFT energy (no corrections), eV per cell: -45.09



4.
Compound: Sc2CrHgF
Source: Alexandria via LeMat-Bulk
Functional: PBE+U
Structure: optimized geometry

Lattice parameters (Å, degrees): 5.3840 4.8585 5.3840 90.00 90.00 90.00
Last column: nearest neighbours and their distance in Å.
Atoms (fractional coordinates):
Sc  0.0000  0.0000  0.5000  2 Hg 2.69
Sc  0.5000  0.0000  0.0000  2 Hg 2.69
Cr  0.5000  0.5000  0.5000  8 Sc 3.63, 4 F 3.81
Hg  0.0000  0.0000  0.0000  2 F 2.43, 4 Sc 2.69
F  0.0000  0.5000  0.0000  2 Hg 2.43

## Properties
Theoretical density, g/cm³: 4.26
Total DFT energy (no corrections), eV per cell: -20.70



5.
Compound: CrHg3Se2F6
Source: Alexandria via LeMat-Bulk
Functional: PBE+U
Structure: optimized geometry

Lattice parameters (Å, degrees): 5.1653 6.9909 7.6193 117.31 103.45 90.00
Last column: nearest neighbours and their distance in Å.
Atoms (fractional coordinates):
Cr  0.5000  0.0000  0.0000  6 F 1.85-1.88
Hg  0.0000  0.5000  0.0000  2 Se 2.53
Hg  0.5000  0.5000  0.5000  2 Se 2.53, 2 F 2.77
Hg  0.5000  0.0000  0.5000  2 Se 2.53, 2 F 2.77
Se  0.1359  0.6938  0.3875  3 Hg 2.53
Se  0.8641  0.3062  0.6125  3 Hg 2.53
F  0.7092  0.2725  0.1555  1 Cr 1.88
F  0.2908  0.7275  0.8445  1 Cr 1.88
F  0.7123  0.9088  0.8177  1 Cr 1.85
F  0.2877  0.0912  0.1823  1 Cr 1.85
F  0.2908  0.1170  0.8445  1 Cr 1.88
F  0.7092  0.8830  0.1555  1 Cr 1.88

## Properties
Theoretical density, g/cm³: 6.51
Total DFT energy (no corrections), eV per cell: -44.73



6.
Compound: Cr2SnHgF
Source: Alexandria via LeMat-Bulk
Functional: PBE+U
Structure: optimized geometry

Lattice parameters (Å, degrees): 4.5073 5.1673 4.5073 90.00 90.00 90.00
Last column: nearest neighbours and their distance in Å.
Atoms (fractional coordinates):
Cr  0.0000  0.0000  0.5000  2 F 2.25
Cr  0.5000  0.0000  0.0000  2 F 2.25
F  0.0000  0.0000  0.0000  4 Cr 2.25
Hg  0.5000  0.5000  0.5000  4 Sn 3.19, 8 Cr 3.43
Sn  0.0000  0.5000  0.0000  2 F 2.58

## Properties
Theoretical density, g/cm³: 7.00
Total DFT energy (no corrections), eV per cell: -22.01